[1]
This record from Alexandria via LeMat-Bulk describes an optimized crystal structure of Pm2Cu2O5. The functional is PBE.

Lattice parameters (Å, degrees): 12.966 4.028 4.976 90.00 112.16 90.00
Space group C2/m (No. 12)
Asymmetric unit:
Pm 0.119 0.000 0.329 x4
Cu 0.098 0.500 0.797 x4
O 0.000 0.500 0.000 x2
O 0.089 0.000 0.799 x4
O 0.188 0.500 0.576 x4

Formation energy without anion corrections = -2.12 eV/atom
Crystal system = monoclinic
Total magnetic moment = 0.00 μB/cell


[2]
This record from Alexandria via LeMat-Bulk describes an optimized crystal structure of PmCu2O4. The functional is PBE.

Lattice parameters (Å, degrees): 5.382 5.355 6.360 90.00 106.23 90.00
Space group C2/m (No. 12)
Asymmetric unit:
Pm 0.000 0.000 0.000 x2
Cu 0.108 0.500 0.312 x4
O 0.168 0.252 0.755 x8

Formation energy without anion corrections = -1.44 eV/atom
Crystal system = monoclinic
Total magnetic moment = 0.00 μB/cell
Energy relative to the lowest polymorph listed for this composition = 105 meV per atom


[3]
This record from Alexandria via LeMat-Bulk describes an optimized crystal structure of PmCu7O12. The functional is PBE.

Lattice parameters (Å, degrees): 7.346 7.346 7.346 90.00 90.00 90.00
Space group Im-3 (No. 204)
Asymmetric unit:
Pm 0.000 0.000 0.000 x2
Cu 0.000 0.000 0.500 x6
Cu 0.250 0.250 0.250 x8
O 0.000 0.170 0.308 x24

Formation energy without anion corrections = -0.84 eV/atom
Crystal system = cubic
Total magnetic moment = 0.00 μB/cell


[4]
This record from Alexandria via LeMat-Bulk describes an optimized crystal structure of PmCuPtO6. The functional is PBE.

Lattice parameters (Å, degrees): 5.5429 5.5429 8.1994 90.00 90.00 120.00
Space group P-31c (No. 163)
Asymmetric unit:
Pm 0.3333 0.6667 0.2500 x2
Cu 0.0000 0.0000 0.0000 x2
Pt 0.3333 0.6667 0.7500 x2
O 0.0463 0.3606 0.6135 x12

Formation energy without anion corrections = -0.94 eV/atom
Crystal system = trigonal
Total magnetic moment = 1.65 μB/cell


The lowest formation energy without anion corrections belongs to which entry? Pm2Cu2O5


The lowest formation energy without anion corrections belongs to which entry? Pm2Cu2O5